# K2NaCo2F7

A relaxed structure of K2NaCo2F7 (PBE+U, the Alexandria database).

Cell: 4.094 4.094 11.014 Å, 79.25 79.25 89.96°
Each line ends with the local moment (μB).
Fractional positions:
F (0.306, 0.306, 0.383)  0.03
F (0.500, 0.500, 0.000)  0.06
F (0.694, 0.694, 0.617)  0.03
F (0.093, 0.592, 0.816)  0.05
F (0.408, 0.907, 0.184)  0.05
F (0.592, 0.093, 0.816)  0.05
F (0.907, 0.408, 0.184)  0.05
K (0.819, 0.819, 0.367)  0.00
K (0.181, 0.181, 0.633)  0.00
Co (0.404, 0.404, 0.191)  2.80
Co (0.596, 0.596, 0.809)  2.80
Na (0.000, 0.000, 0.000)  0.00

Calculated values
As for the total magnetic moment: 6.0 μB per formula unit. As for the space group: No. 12. The volume is 14.8 Å³/atom. As for the energy: -4.686 eV per atom. The density of states at the Fermi level comes out at 0.000 states/eV per atom.